[1]
# Sm3AgIr2 | Alexandria via LeMat-Bulk | PBE-GGA | optimized geometry
# energy above the lowest structure with this stoichiometry = 0.00 kcal/mol of atoms
# energy of formation from the pure elements = -3.38 eV per formula unit
# magnetic moment = 0.000 Bohr magnetons per cell
# electronic total energy = -6.351 eV per atom
data_Sm3AgIr2
_space_group_name_H-M_alt 'P 1'
_space_group_IT_number 1
_space_group_name_Hall 'P 1'
_cell_length_a 3.5350
_cell_length_b 3.5350
_cell_length_c 11.0854
_cell_angle_alpha 90.00
_cell_angle_beta 90.00
_cell_angle_gamma 90.00
loop_
_atom_site_label
_atom_site_fract_x
_atom_site_fract_y
_atom_site_fract_z
_atom_site_occupancy
Sm1 0.0000 0.0000 0.0000 1
Sm2 0.0000 0.0000 0.3080 1
Sm3 0.0000 0.0000 0.6920 1
Ag1 0.5000 0.5000 0.5000 1
Ir1 0.5000 0.5000 0.1621 1
Ir2 0.5000 0.5000 0.8379 1

---

[2]
# Sm7AgIr4 | Alexandria via LeMat-Bulk | PBE-GGA | optimized geometry
# energy of formation from the pure elements = -4.98 eV per formula unit
# magnetic moment = 0.000 Bohr magnetons per cell
# electronic total energy = -6.359 eV per atom
data_Sm7AgIr4
_space_group_name_H-M_alt 'P 1'
_space_group_IT_number 1
_space_group_name_Hall 'P 1'
_cell_length_a 7.4903
_cell_length_b 7.4903
_cell_length_c 10.0333
_cell_angle_alpha 123.26
_cell_angle_beta 123.26
_cell_angle_gamma 42.36
loop_
_atom_site_label
_atom_site_fract_x
_atom_site_fract_y
_atom_site_fract_z
_atom_site_occupancy
Sm1 0.0000 0.0000 0.0000 1
Sm2 0.1696 0.1696 0.6167 1
Sm3 0.2900 0.2900 0.1265 1
Sm4 0.4208 0.4208 0.6444 1
Sm5 0.5792 0.5792 0.3556 1
Sm6 0.7100 0.7100 0.8735 1
Sm7 0.8304 0.8304 0.3833 1
Ag1 0.5000 0.5000 0.0000 1
Ir1 0.0688 0.0688 0.7816 1
Ir2 0.2062 0.2062 0.3390 1
Ir3 0.7938 0.7938 0.6610 1
Ir4 0.9312 0.9312 0.2184 1